VASP calculation (PBE-GGA) on Sr8HN2 after structural relaxation.

Cell lengths 13.097, 10.083, 6.639 Å; angles 90.00, 91.06, 90.00 degrees
Space group C2/m (No. 12)
Unique sites:
Sr: 0.114 0.195 0.229 (multiplicity 8)
Sr: 0.133 0.500 0.730 (multiplicity 4)
Sr: 0.160 0.000 0.708 (multiplicity 4)
H: 0.000 0.000 0.000 (multiplicity 2)
N: 0.192 0.000 0.359 (multiplicity 4)

## Properties
uncorrected energy: -3.36 eV/atom
size of the total moment: 0.0 μB/f.u.
density: 2.77 g/cm3